# Y2H8Rh3 (PBE, relaxed)
data_Y2H8Rh3
_chemical_formula_sum 'Y2 H8 Rh3'
_cell_length_a 4.987
_cell_length_b 5.683
_cell_length_c 5.574
_cell_angle_alpha 120.65
_cell_angle_beta 108.50
_cell_angle_gamma 90.00
_space_group_name_H-M_alt 'P 1'
_space_group_IT_number 1
_space_group_name_Hall 'P 1'
loop_
_atom_site_label
_atom_site_fract_x
_atom_site_fract_y
_atom_site_fract_z
H1 0.120 0.897 0.794
H2 0.916 0.374 0.747
Rh1 0.500 0.000 0.000
H3 0.880 0.103 0.206
Y1 0.692 0.697 0.393
H4 0.084 0.626 0.253
Y2 0.308 0.303 0.607
H5 0.621 0.692 0.789
H6 0.379 0.903 0.211
Rh2 0.000 0.745 0.000
H7 0.379 0.308 0.211
Rh3 0.000 0.255 0.000
H8 0.621 0.097 0.789
# Density   6.50 g/cm3
# Magnetic moment   0.00 μB/f.u.
# E   -5.169 eV/atom



# Pm5DySc4 (PBE, relaxed)
data_Pm5DySc4
_chemical_formula_sum 'Pm5 Dy1 Sc4'
_cell_length_a 6.206
_cell_length_b 7.679
_cell_length_c 7.679
_cell_angle_alpha 80.60
_cell_angle_beta 66.17
_cell_angle_gamma 66.17
_space_group_name_H-M_alt 'P 1'
_space_group_IT_number 1
_space_group_name_Hall 'P 1'
loop_
_atom_site_label
_atom_site_fract_x
_atom_site_fract_y
_atom_site_fract_z
Sc1 0.091 0.302 0.417
Dy1 0.222 0.000 0.000
Pm1 0.682 0.000 0.000
Pm2 0.101 0.602 0.100
Sc2 0.392 0.417 0.698
Pm3 0.201 0.900 0.602
Sc3 0.508 0.583 0.302
Pm4 0.703 0.100 0.398
Pm5 0.803 0.398 0.900
Sc4 0.810 0.698 0.583
# Density   5.79 g/cm3
# Polymorph energy (0 for the lowest one)   285 meV/atom
# Magnetic moment   0.00 μB/f.u.
# E_form   0.330 eV per atom



# NdTeRu (PBE, relaxed)
data_NdTeRu
_chemical_formula_sum 'Nd2 Te2 Ru2'
_cell_length_a 3.787
_cell_length_b 3.800
_cell_length_c 12.084
_cell_angle_alpha 90.00
_cell_angle_beta 90.00
_cell_angle_gamma 119.89
_space_group_name_H-M_alt 'P 1'
_space_group_IT_number 1
_space_group_name_Hall 'P 1'
loop_
_atom_site_label
_atom_site_fract_x
_atom_site_fract_y
_atom_site_fract_z
Ru1 0.611 0.221 0.000
Te1 0.611 0.222 0.632
Nd1 0.278 0.556 0.158
Ru2 0.278 0.557 0.500
Te2 0.611 0.222 0.368
Nd2 0.278 0.556 0.842
# Density   8.21 g/cm3
# Formation energy (no corrections)   -0.158 eV per atom
# Magnetic moment   0.00 μB/f.u.